Entry 1:
First-principles (SCAN) data for a PBEsol-optimized structure of ZnPCS2, as listed in the Alexandria database.

Lattice parameters (Å, degrees): 4.5662 4.4876 4.4876 90.00 90.00 90.00
With the nearest neighbours (Å) after each atom.
Fractional positions:
C1 0.5000 0.5000 0.5000  4 P 3.17, 8 S 3.20
P1 0.5000 0.0000 0.0000  2 Zn 2.28
Zn1 0.0000 0.0000 0.0000  4 S 2.24, 2 P 2.28
S1 0.0000 0.0000 0.5000  2 Zn 2.24
S2 0.0000 0.5000 0.0000  2 Zn 2.24

The calculation puts the formation energy from raw total energies at 2.10 eV per atom.



Entry 2:
First-principles (SCAN) data for a PBEsol-optimized structure of BaNaH2, as listed in the Alexandria database.

Lattice parameters (Å, degrees): 4.6944 4.6944 4.6944 60.00 60.00 60.00
With the nearest neighbours (Å) after each atom.
Fractional positions:
Na1 0.0000 0.0000 0.0000  8 H 2.87
Ba1 0.5000 0.5000 0.5000  8 H 2.87
H1 0.2500 0.2500 0.2500  4 Na 2.87, 4 Ba 2.87
H2 0.7500 0.7500 0.7500  4 Na 2.87, 4 Ba 2.87

Its electronic total energy is -12.8790 eV/atom.



Entry 3:
First-principles (SCAN) data for a PBEsol-optimized structure of CoTc2Br, as listed in the Alexandria database.

Lattice parameters (Å, degrees): 4.3055 4.3055 4.3055 60.00 60.00 60.00
With the nearest neighbours (Å) after each atom.
Fractional positions:
Co1 0.2500 0.2500 0.2500  4 Br 2.64, 4 Tc 2.64
Tc1 0.0000 0.0000 0.0000  4 Co 2.64, 4 Tc 2.64
Tc2 0.7500 0.7500 0.7500  4 Br 2.64, 4 Tc 2.64
Br1 0.5000 0.5000 0.5000  4 Tc 2.64, 4 Co 2.64

As for the offset from the most stable computed form: 0.286 eV/atom. The calculation puts the formation energy from raw total energies at 1.00 eV per atom.



Question: Number 1 is which compound?
Answer: ZnPCS2



Copy entry 1 word for word.
First-principles (SCAN) data for a PBEsol-optimized structure of ZnPCS2, as listed in the Alexandria database.

Lattice parameters (Å, degrees): 4.5662 4.4876 4.4876 90.00 90.00 90.00
With the nearest neighbours (Å) after each atom.
Fractional positions:
C1 0.5000 0.5000 0.5000  4 P 3.17, 8 S 3.20
P1 0.5000 0.0000 0.0000  2 Zn 2.28
Zn1 0.0000 0.0000 0.0000  4 S 2.24, 2 P 2.28
S1 0.0000 0.0000 0.5000  2 Zn 2.24
S2 0.0000 0.5000 0.0000  2 Zn 2.24

The calculation puts the formation energy from raw total energies at 2.10 eV per atom.